Record 1
ScGa2Cu2 after structural relaxation. Source: Alexandria via LeMat-Bulk, functional PBE-GGA.

Lattice parameters (Å, degrees): 7.3746 7.3746 2.8408 90.00 90.00 90.00
Each line ends with the local moment (μB).
Element x y z (fractional)
Cu (0.8783, 0.6217, 0.0000)  0.00
Cu (0.6217, 0.1217, 0.0000)  0.00
Cu (0.3783, 0.8783, 0.0000)  0.00
Cu (0.1217, 0.3783, 0.0000)  0.00
Ga (0.8255, 0.3255, 0.5000)  0.00
Ga (0.1745, 0.6745, 0.5000)  0.00
Ga (0.6745, 0.8255, 0.5000)  0.00
Ga (0.3255, 0.1745, 0.5000)  0.00
Sc (0.0000, 0.0000, 0.0000)  0.22
Sc (0.5000, 0.5000, 0.0000)  0.22

Raw total energy (hartree per atom): -0.1587
ΔE_f (meV per atom): -204
Density of states at the Fermi level (states/eV/cell): 6.86



Record 2
CaYOs2 after structural relaxation. Source: Alexandria via LeMat-Bulk, functional PBE-GGA.

Lattice parameters (Å, degrees): 5.5086 5.5086 5.5086 136.13 136.13 63.78
Element x y z (fractional)
Os (0.2500, 0.7500, 0.5000)
Os (0.0000, 0.0000, 0.0000)
Y (0.5000, 0.5000, 0.0000)
Ca (0.7500, 0.2500, 0.5000)

Raw total energy (hartree per atom): -0.2616
ΔE_f (meV per atom): 614
Density of states at the Fermi level (states/eV/cell): 5.38



Record 3
Nd2DyHo4Tm2 after structural relaxation. Source: Alexandria via LeMat-Bulk, functional PBE-GGA.

Lattice parameters (Å, degrees): 6.7790 9.8416 6.5961 121.18 126.89 59.22
Element x y z (fractional)
Ho (0.7404, 0.8850, 0.2004)
Ho (0.2596, 0.1150, 0.7996)
Ho (0.3835, 0.2376, 0.4942)
Ho (0.6165, 0.7624, 0.5058)
Tm (0.8214, 0.4451, 0.0365)
Tm (0.1785, 0.5549, 0.9635)
Dy (0.0000, 0.0000, 0.0000)
Nd (0.2685, 0.6578, 0.6016)
Nd (0.7315, 0.3422, 0.3984)

Raw total energy (hartree per atom): -0.1658
ΔE_f (meV per atom): 87
Density of states at the Fermi level (states/eV/cell): 13.98